No. 1
DFT (PBEsol) results for a relaxed LiIr3Pb crystal.

a = 4.2144 Å, b = 4.2144 Å, c = 4.2144 Å
α = 90.00°, β = 90.00°, γ = 90.00°
Atoms (fractional coordinates):
Pb1 0.5000 0.5000 0.5000
Ir1 0.0000 0.5000 0.0000
Ir2 0.0000 0.0000 0.5000
Ir3 0.5000 0.0000 0.0000
Li1 0.0000 0.0000 0.0000

The formation energy is 0.872 eV per atom. Its volume is 74.9 Å³ per cell. For the total energy, the calculation gives -31.077 eV per formula unit. The crystal system is cubic.

=====

No. 2
DFT (PBEsol) results for a relaxed YBeCo2 crystal.

a = 3.6168 Å, b = 3.6168 Å, c = 4.8088 Å
α = 112.09°, β = 112.09°, γ = 90.00°
Each line ends with the local moment (μB).
Atoms (fractional coordinates):
Y1 0.5000 0.5000 0.0000  -0.09
Be1 0.2500 0.7500 0.5000  -0.03
Co1 0.0000 0.0000 0.0000  0.43
Co2 0.7500 0.2500 0.5000  0.98

The formation energy is 0.200 eV per atom. Its volume is 53.3 Å³ per cell. For the total energy, the calculation gives -25.497 eV per formula unit. The crystal system is tetragonal.

=====

No. 3
DFT (PBEsol) results for a relaxed AlAs3Rh crystal.

a = 4.6468 Å, b = 4.6468 Å, c = 4.6468 Å
α = 90.00°, β = 90.00°, γ = 90.00°
Atoms (fractional coordinates):
As1 0.0000 0.5000 0.0000
As2 0.0000 0.0000 0.5000
As3 0.5000 0.0000 0.0000
Rh1 0.5000 0.5000 0.5000
Al1 0.0000 0.0000 0.0000

The formation energy is 0.914 eV per atom. Its volume is 100.3 Å³ per cell. For the total energy, the calculation gives -22.977 eV per formula unit. The crystal system is cubic.